# 1
The following is a DFT calculation (PBE) of a geometry-optimized Hf3Pd5O12 structure.

Summary:
- SG: Ia-3d (230)
- Total DFT energy (no corrections): -0.523 Ry per atom

```
Hf3Pd5O12
1.0
-6.239 6.239 6.239
6.239 -6.239 6.239
6.239 6.239 -6.239
Hf Pd O
12 20 48
direct
0.125 0.250 0.375
0.125 0.375 0.750
0.250 0.375 0.125
0.250 0.875 0.625
0.375 0.125 0.250
0.375 0.750 0.125
0.625 0.250 0.875
0.625 0.875 0.750
0.750 0.125 0.375
0.750 0.625 0.875
0.875 0.625 0.250
0.875 0.750 0.625
0.000 0.000 0.000
0.000 0.000 0.500
0.000 0.500 0.000
0.000 0.500 0.500
0.125 0.750 0.875
0.125 0.875 0.250
0.250 0.125 0.875
0.250 0.625 0.375
0.375 0.250 0.625
0.375 0.625 0.750
0.500 0.000 0.000
0.500 0.000 0.500
0.500 0.500 0.000
0.500 0.500 0.500
0.625 0.375 0.250
0.625 0.750 0.375
0.750 0.375 0.625
0.750 0.875 0.125
0.875 0.125 0.750
0.875 0.250 0.125
0.059 0.221 0.143
0.059 0.337 0.916
0.078 0.721 0.663
0.078 0.857 0.416
0.084 0.643 0.422
0.084 0.941 0.663
0.143 0.059 0.221
0.143 0.584 0.922
0.163 0.221 0.578
0.163 0.441 0.584
0.221 0.143 0.059
0.221 0.578 0.163
0.279 0.337 0.922
0.279 0.441 0.357
0.337 0.916 0.059
0.337 0.922 0.279
0.357 0.279 0.441
0.357 0.578 0.916
0.416 0.078 0.857
0.416 0.837 0.559
0.422 0.084 0.643
0.422 0.837 0.779
0.441 0.357 0.279
0.441 0.584 0.163
0.559 0.416 0.837
0.559 0.643 0.721
0.578 0.163 0.221
0.578 0.916 0.357
0.584 0.163 0.441
0.584 0.922 0.143
0.643 0.422 0.084
0.643 0.721 0.559
0.663 0.078 0.721
0.663 0.084 0.941
0.721 0.559 0.643
0.721 0.663 0.078
0.779 0.422 0.837
0.779 0.857 0.941
0.837 0.559 0.416
0.837 0.779 0.422
0.857 0.416 0.078
0.857 0.941 0.779
0.916 0.059 0.337
0.916 0.357 0.578
0.922 0.143 0.584
0.922 0.279 0.337
0.941 0.663 0.084
0.941 0.779 0.857
```



# 2
The following is a DFT calculation (PBE) of a geometry-optimized SrTcOs structure.

Summary:
- SG: P-1 (2)
- Total DFT energy (no corrections): -0.543 Ry per atom
- ΔE_f: 0.374 eV/atom

```
SrTcOs
1.0
4.157 0.000 0.000
2.078 3.600 0.000
0.031 0.002 10.964
Sr Tc Os
2 2 2
direct
0.164 0.166 0.312
0.836 0.834 0.688
0.167 0.167 0.923
0.833 0.833 0.077
0.499 0.500 0.119
0.501 0.500 0.881
```



# 3
The following is a DFT calculation (PBE) of a geometry-optimized Ce2TcOs structure.

Summary:
- SG: R-3m (166)
- Total DFT energy (no corrections): -0.585 Ry per atom
- ΔE_f: 0.403 eV/atom

```
Ce2TcOs
1.0
3.087 0.000 0.000
-1.544 2.674 0.000
0.000 0.000 28.787
Ce Tc Os
6 3 3
direct
0.000 0.000 0.086
0.000 0.000 0.914
0.333 0.667 0.581
0.333 0.667 0.752
0.667 0.333 0.248
0.667 0.333 0.419
0.000 0.000 0.000
0.333 0.667 0.667
0.667 0.333 0.333
0.000 0.000 0.500
0.333 0.667 0.167
0.667 0.333 0.833
```



> What is the total DFT energy (no corrections) in the third record?

-0.585 Ry per atom